Material: SrCoHg2
Method: DFT, GGA-PBE
State: relaxed

a = 5.061 Å, b = 5.061 Å, c = 5.061 Å
α = 60.00°, β = 60.00°, γ = 60.00°
Element x y z (fractional)
Sr (0.000, 0.000, 0.000)
Co (0.250, 0.250, 0.250)
Hg (0.500, 0.500, 0.500)
Hg (0.750, 0.750, 0.750)

Summary:
The total energy comes out at -2.124 eV per atom. Its symmetry is F-43m (216).